[1]
The following is a SCAN calculation of Ba2SbMo at its PBEsol-relaxed geometry, from Alexandria via LeMat-Bulk.

E: -1.3677 Ha/atom
D(E_F): 0.825 states/eV/atom
Raw formation energy: 594 meV/atom
Total magnetic moment: 0.0 μB/f.u.

a b c (Å): 3.353 3.353 10.427
angles (deg): 90.00 90.00 90.00
Space group P4/mmm (No. 123)
Symmetry-distinct sites (fractional):
Ba 0.000 0.000 0.239
Sb 0.500 0.500 0.500
Mo 0.500 0.500 0.000

---

[2]
The following is a SCAN calculation of BaSb2Mo at its PBEsol-relaxed geometry, from Alexandria via LeMat-Bulk.

Relative energy among the computed polymorphs: 0.629 eV/atom
E: -1.3548 Ha/atom
D(E_F): 0.655 states/eV/atom
Raw formation energy: 373 meV/atom
Total magnetic moment: 3.0 μB/f.u.

a b c (Å): 5.689 5.689 3.287
angles (deg): 90.00 90.00 90.00
Space group P4/mmm (No. 123)
Symmetry-distinct sites (fractional):
Ba 0.000 0.000 0.000
Sb 0.000 0.500 0.500
Mo 0.500 0.500 0.000

---

[3]
The following is a SCAN calculation of BaSb2Mo at its PBEsol-relaxed geometry, from Alexandria via LeMat-Bulk.

Relative energy among the computed polymorphs: 0.000 eV/atom
E: -1.3779 Ha/atom
D(E_F): 0.539 states/eV/atom
Raw formation energy: -256 meV/atom
Total magnetic moment: 2.1 μB/f.u.

a b c (Å): 4.2362 4.2362 22.1197
angles (deg): 90.00 90.00 120.00
Space group R-3m (No. 166, hexagonal axes)
Symmetry-distinct sites (fractional):
Ba 0.0000 0.0000 0.0000
Sb 0.0000 0.0000 0.2268
Mo 0.0000 0.0000 0.5000